No. 1
Density functional theory data (PBE) for a relaxed structure of Li2GaCu2Ge.

Summary:
The space-group type is P-6m2 (187). The final energy is -3.3857 eV/atom.

abc: 4.2480 4.2480 5.4113
angles: 90.00 90.00 120.00
Fractional coordinates of all 6 atoms:
Li  0.0000  0.0000  0.2466
Li  0.0000  0.0000  0.7534
Ga  0.6667  0.3333  0.5000
Cu  0.3333  0.6667  0.5000
Cu  0.6667  0.3333  0.0000
Ge  0.3333  0.6667  0.0000

---

No. 2
Density functional theory data (PBE) for a relaxed structure of KRbZrS3.

Summary:
The calculation puts the relative energy among the computed polymorphs at 241 meV per atom. The space-group type is Cmcm (63).

abc: 9.0356 9.0356 11.2070
angles: 90.00 90.00 155.36
Fractional coordinates of all 12 atoms:
K  0.1268  0.8732  0.7500
K  0.8732  0.1268  0.2500
Rb  0.1516  0.8484  0.2500
Rb  0.8484  0.1516  0.7500
Zr  0.5000  0.5000  0.0000
Zr  0.5000  0.5000  0.5000
S  0.0976  0.9024  0.5017
S  0.0976  0.9024  0.9983
S  0.4943  0.5057  0.7500
S  0.5057  0.4943  0.2500
S  0.9024  0.0976  0.0017
S  0.9024  0.0976  0.4983

---

No. 3
Density functional theory data (PBE) for a relaxed structure of Dy4Cd5Ir2.

Summary:
For the formation energy, the calculation gives -0.5015 eV per atom. The space-group type is P2/m (10).

abc: 7.6648 3.6336 9.5775
angles: 90.00 94.31 90.00
Fractional coordinates of all 11 atoms:
Dy  0.1703  0.0000  0.3515
Dy  0.2131  0.0000  0.9450
Dy  0.7869  0.0000  0.0550
Dy  0.8297  0.0000  0.6485
Cd  0.1867  0.5000  0.6520
Cd  0.4551  0.5000  0.1723
Cd  0.5000  0.5000  0.5000
Cd  0.5449  0.5000  0.8277
Cd  0.8133  0.5000  0.3481
Ir  0.0754  0.5000  0.1437
Ir  0.9246  0.5000  0.8563

---

No. 4
Density functional theory data (PBE) for a relaxed structure of Y2HoTm4Ni2Te2.

Summary:
The space-group type is Imm2 (44). The final energy is -5.4878 eV/atom.

abc: 9.2826 9.2826 9.2826
angles: 156.11 66.93 118.53
Fractional coordinates of all 11 atoms:
Y  0.1473  0.0000  0.1473
Y  0.8527  0.0000  0.8527
Ho  0.2327  0.7327  0.5000
Tm  0.1673  0.3523  0.8150
Tm  0.5153  0.1490  0.3663
Tm  0.5373  0.3523  0.1850
Tm  0.7826  0.1490  0.6337
Ni  0.4021  0.6623  0.7398
Ni  0.9225  0.6623  0.2602
Te  0.4980  0.4980  0.0000
Te  0.8936  0.3936  0.5000

---

No. 5
Density functional theory data (PBE) for a relaxed structure of SmTeNO.

Summary:
The calculation puts the relative energy among the computed polymorphs at 322 meV per atom. The space-group type is P4/nmm (129).

abc: 4.5412 4.5412 7.2599
angles: 90.00 90.00 90.00
Fractional coordinates of all 8 atoms:
Sm  0.2500  0.2500  0.1248
Sm  0.7500  0.7500  0.8752
Te  0.2500  0.7500  0.5000
Te  0.7500  0.2500  0.5000
N  0.2500  0.2500  0.4525
N  0.7500  0.7500  0.5475
O  0.2500  0.7500  0.0000
O  0.7500  0.2500  0.0000

---

No. 6
Density functional theory data (PBE) for a relaxed structure of PrZr.

Summary:
For the formation energy, the calculation gives 0.2372 eV per atom. The calculation puts the relative energy among the computed polymorphs at 139 meV per atom. The space-group type is P-6m2 (187).

abc: 3.4156 3.4156 5.6451
angles: 90.00 90.00 120.00
Fractional coordinates of all 2 atoms:
Pr  0.0000  0.0000  0.0000
Zr  0.6667  0.3333  0.5000

---

No. 7
Density functional theory data (PBE) for a relaxed structure of Sn10PdSe10.

Summary:
The space-group type is Pbam (55). The final energy is -4.1487 eV/atom.

abc: 11.6098 11.8753 8.7562
angles: 90.00 90.00 90.00
Fractional coordinates of all 42 atoms:
Sn  0.0000  0.0000  0.2340
Sn  0.0000  0.0000  0.7660
Sn  0.1315  0.4148  0.2574
Sn  0.1315  0.4148  0.7426
Sn  0.1457  0.6822  0.0000
Sn  0.2424  0.6818  0.5000
Sn  0.2576  0.1818  0.5000
Sn  0.3543  0.1822  0.0000
Sn  0.3685  0.9148  0.2574
Sn  0.3685  0.9148  0.7426
Sn  0.5000  0.5000  0.2340
Sn  0.5000  0.5000  0.7660
Sn  0.6315  0.0852  0.2574
Sn  0.6315  0.0852  0.7426
Sn  0.6457  0.8178  0.0000
Sn  0.7424  0.8182  0.5000
Sn  0.7576  0.3182  0.5000
Sn  0.8543  0.3178  0.0000
Sn  0.8685  0.5852  0.2574
Sn  0.8685  0.5852  0.7426
Pd  0.0000  0.5000  0.0000
Pd  0.5000  0.0000  0.0000
Se  0.0073  0.3232  0.5000
Se  0.1447  0.9109  0.0000
Se  0.1718  0.1896  0.1950
Se  0.1718  0.1896  0.8050
Se  0.1991  0.9440  0.5000
Se  0.3009  0.4440  0.5000
Se  0.3282  0.6896  0.1950
Se  0.3282  0.6896  0.8050
Se  0.3553  0.4109  0.0000
Se  0.4927  0.8232  0.5000
Se  0.5073  0.1768  0.5000
Se  0.6447  0.5891  0.0000
Se  0.6718  0.3104  0.1950
Se  0.6718  0.3104  0.8050
Se  0.6991  0.5560  0.5000
Se  0.8009  0.0560  0.5000
Se  0.8282  0.8104  0.1950
Se  0.8282  0.8104  0.8050
Se  0.8553  0.0891  0.0000
Se  0.9927  0.6768  0.5000

---

No. 8
Density functional theory data (PBE) for a relaxed structure of GdSnO3.

Summary:
The space-group type is Pnma (62). The final energy is -6.9970 eV/atom.

abc: 5.9890 8.2374 5.6337
angles: 90.00 90.00 90.00
Fractional coordinates of all 20 atoms:
Gd  0.0638  0.2500  0.0207
Gd  0.4362  0.7500  0.5207
Gd  0.5638  0.2500  0.4793
Gd  0.9362  0.7500  0.9793
Sn  0.0000  0.0000  0.5000
Sn  0.0000  0.5000  0.5000
Sn  0.5000  0.0000  0.0000
Sn  0.5000  0.5000  0.0000
O  0.0796  0.7500  0.3461
O  0.1884  0.5740  0.8158
O  0.1884  0.9260  0.8158
O  0.3116  0.0740  0.3158
O  0.3116  0.4260  0.3158
O  0.4204  0.2500  0.8461
O  0.5796  0.7500  0.1539
O  0.6884  0.5740  0.6842
O  0.6884  0.9260  0.6842
O  0.8116  0.0740  0.1842
O  0.8116  0.4260  0.1842
O  0.9204  0.2500  0.6539

---

No. 9
Density functional theory data (PBE) for a relaxed structure of YErNO.

Summary:
The calculation puts the relative energy among the computed polymorphs at 508 meV per atom. The space-group type is P4/nmm (129).

abc: 4.3901 4.3901 7.7809
angles: 90.00 90.00 90.00
Fractional coordinates of all 8 atoms:
Y  0.2500  0.2500  0.0906
Y  0.7500  0.7500  0.9094
Er  0.2500  0.7500  0.5000
Er  0.7500  0.2500  0.5000
N  0.2500  0.2500  0.5748
N  0.7500  0.7500  0.4252
O  0.2500  0.7500  0.0000
O  0.7500  0.2500  0.0000

---

No. 10
Density functional theory data (PBE) for a relaxed structure of CdCuHgBi.

Summary:
The calculation puts the relative energy among the computed polymorphs at 21 meV per atom. The space-group type is F-43m (216).

abc: 7.1457 7.1457 7.1457
angles: 90.00 90.00 90.00
Fractional coordinates of all 16 atoms:
Cd  0.0000  0.0000  0.0000
Cd  0.0000  0.5000  0.5000
Cd  0.5000  0.0000  0.5000
Cd  0.5000  0.5000  0.0000
Cu  0.2500  0.2500  0.7500
Cu  0.2500  0.7500  0.2500
Cu  0.7500  0.2500  0.2500
Cu  0.7500  0.7500  0.7500
Hg  0.2500  0.2500  0.2500
Hg  0.2500  0.7500  0.7500
Hg  0.7500  0.2500  0.7500
Hg  0.7500  0.7500  0.2500
Bi  0.0000  0.0000  0.5000
Bi  0.0000  0.5000  0.0000
Bi  0.5000  0.0000  0.0000
Bi  0.5000  0.5000  0.5000

---

No. 11
Density functional theory data (PBE) for a relaxed structure of LiThBe.

Summary:
The calculation puts the relative energy among the computed polymorphs at 0 meV per atom. The space-group type is F-43m (216).

abc: 6.4188 6.4188 6.4188
angles: 90.00 90.00 90.00
Fractional coordinates of all 12 atoms:
Li  0.0000  0.0000  0.0000
Li  0.0000  0.5000  0.5000
Li  0.5000  0.0000  0.5000
Li  0.5000  0.5000  0.0000
Th  0.0000  0.0000  0.5000
Th  0.0000  0.5000  0.0000
Th  0.5000  0.0000  0.0000
Th  0.5000  0.5000  0.5000
Be  0.2500  0.2500  0.2500
Be  0.2500  0.7500  0.7500
Be  0.7500  0.2500  0.7500
Be  0.7500  0.7500  0.2500

---

No. 12
Density functional theory data (PBE) for a relaxed structure of ZnAg15.

Summary:
For the formation energy, the calculation gives 0.0484 eV per atom. The calculation puts the relative energy among the computed polymorphs at 2 meV per atom. The space-group type is P2_1/m (11).

abc: 5.8317 2.9229 46.6514
angles: 90.00 90.01 90.00
Fractional coordinates of all 32 atoms:
Zn  0.1247  0.2500  0.3327
Zn  0.8753  0.7500  0.6673
Ag  0.1249  0.2500  0.0671
Ag  0.1251  0.2500  0.1568
Ag  0.1250  0.2500  0.2472
Ag  0.1253  0.2500  0.7077
Ag  0.1249  0.2500  0.7980
Ag  0.1250  0.2500  0.8880
Ag  0.1251  0.2500  0.9776
Ag  0.3752  0.7500  0.0224
Ag  0.3750  0.7500  0.1119
Ag  0.3749  0.7500  0.2020
Ag  0.3753  0.7500  0.2924
Ag  0.3747  0.7500  0.6634
Ag  0.3750  0.7500  0.7529
Ag  0.3751  0.7500  0.8431
Ag  0.3748  0.7500  0.9328
Ag  0.6252  0.2500  0.0672
Ag  0.6249  0.2500  0.1569
Ag  0.6250  0.2500  0.2471
Ag  0.6253  0.2500  0.3366
Ag  0.6247  0.2500  0.7076
Ag  0.6251  0.2500  0.7980
Ag  0.6250  0.2500  0.8881
Ag  0.6248  0.2500  0.9776
Ag  0.8749  0.7500  0.0223
Ag  0.8750  0.7500  0.1120
Ag  0.8751  0.7500  0.2020
Ag  0.8747  0.7500  0.2923
Ag  0.8750  0.7500  0.7528
Ag  0.8749  0.7500  0.8432
Ag  0.8751  0.7500  0.9329

---

no.,density (g/cm³)
1,5.6
2,2.7
3,10.0
4,8.2
5,6.8
6,6.8
7,5.7
8,7.7
9,6.3
10,10.7
11,6.2
12,7.0